[1]
DFT (GGA-PBE) results for crystalline Nd12Y2In at its relaxed geometry.

The structure in CIF format:
```
data_Nd12Y2In
_chemical_formula_sum 'Nd24 Y4 In2'
_symmetry_space_group_name_H-M 'P 1'
_symmetry_Int_Tables_number 1
_cell_length_a 6.741
_cell_length_b 6.741
_cell_length_c 23.860
_cell_angle_alpha 90.00
_cell_angle_beta 90.00
_cell_angle_gamma 90.00
loop_
_symmetry_equiv_pos_as_xyz
'x,y,z'
loop_
_atom_site_label
_atom_site_fract_x
_atom_site_fract_y
_atom_site_fract_z
_atom_site_occupancy
Nd1 0.004 0.504 0.092 1
Nd2 0.004 0.996 0.908 1
Nd3 0.084 0.584 0.566 1
Nd4 0.084 0.916 0.434 1
Nd5 0.250 0.250 0.200 1
Nd6 0.250 0.250 0.328 1
Nd7 0.250 0.250 0.672 1
Nd8 0.250 0.250 0.800 1
Nd9 0.416 0.584 0.434 1
Nd10 0.416 0.916 0.566 1
Nd11 0.496 0.504 0.908 1
Nd12 0.496 0.996 0.092 1
Nd13 0.504 0.004 0.908 1
Nd14 0.504 0.496 0.092 1
Nd15 0.584 0.084 0.434 1
Nd16 0.584 0.416 0.566 1
Nd17 0.750 0.750 0.200 1
Nd18 0.750 0.750 0.328 1
Nd19 0.750 0.750 0.672 1
Nd20 0.750 0.750 0.800 1
Nd21 0.916 0.084 0.566 1
Nd22 0.916 0.416 0.434 1
Nd23 0.996 0.004 0.092 1
Nd24 0.996 0.496 0.908 1
Y1 0.250 0.750 0.253 1
Y2 0.250 0.750 0.747 1
Y3 0.750 0.250 0.253 1
Y4 0.750 0.250 0.747 1
In1 0.250 0.750 0.000 1
In2 0.750 0.250 0.000 1
```

Computed properties:
The formation energy is 223 meV/atom. Its space-group type is No. 125.


[2]
DFT (GGA-PBE) results for crystalline NdY2In at its relaxed geometry.

The structure in CIF format:
```
data_NdY2In
_chemical_formula_sum 'Nd1 Y2 In1'
_symmetry_space_group_name_H-M 'P 1'
_symmetry_Int_Tables_number 1
_cell_length_a 4.934
_cell_length_b 4.934
_cell_length_c 4.864
_cell_angle_alpha 90.00
_cell_angle_beta 90.00
_cell_angle_gamma 90.00
loop_
_symmetry_equiv_pos_as_xyz
'x,y,z'
loop_
_atom_site_label
_atom_site_fract_x
_atom_site_fract_y
_atom_site_fract_z
_atom_site_occupancy
Nd1 0.000 0.000 0.000 1
Y1 0.000 0.500 0.500 1
Y2 0.500 0.000 0.500 1
In1 0.500 0.500 0.000 1
```

Computed properties:
The formation energy is -274 meV/atom. Its space-group type is No. 123.


[3]
DFT (GGA-PBE) results for crystalline NdY2In9 at its relaxed geometry.

The structure in CIF format:
```
data_NdY2In9
_chemical_formula_sum 'Nd1 Y2 In9'
_symmetry_space_group_name_H-M 'P 1'
_symmetry_Int_Tables_number 1
_cell_length_a 4.670
_cell_length_b 4.670
_cell_length_c 14.003
_cell_angle_alpha 90.00
_cell_angle_beta 90.00
_cell_angle_gamma 90.00
loop_
_symmetry_equiv_pos_as_xyz
'x,y,z'
loop_
_atom_site_label
_atom_site_fract_x
_atom_site_fract_y
_atom_site_fract_z
_atom_site_occupancy
Nd1 0.000 0.000 0.000 1
Y1 0.000 0.000 0.335 1
Y2 0.000 0.000 0.665 1
In1 0.000 0.500 0.170 1
In2 0.000 0.500 0.500 1
In3 0.000 0.500 0.830 1
In4 0.500 0.000 0.170 1
In5 0.500 0.000 0.500 1
In6 0.500 0.000 0.830 1
In7 0.500 0.500 0.000 1
In8 0.500 0.500 0.334 1
In9 0.500 0.500 0.666 1
```

Computed properties:
The formation energy is -441 meV/atom. Its space-group type is No. 123.